Entry 1:
Here is a PBEsol-optimized structure of Rh2PbW from Alexandria. Energies are from SCAN.

The value obtained for the total magnetization is 0.000 μB/atom. The formation energy is 0.34 eV per atom.

```
data_Rh2PbW
_cell_length_a 8.943
_cell_length_b 2.930
_cell_length_c 5.038
_cell_angle_alpha 90.00
_cell_angle_beta 98.59
_cell_angle_gamma 90.00
_space_group_name_H-M_alt 'C 1 2/m 1'
_space_group_IT_number 12
_space_group_name_Hall '-C 2y'
loop_
_atom_site_label
_atom_site_type_symbol
_atom_site_fract_x
_atom_site_fract_y
_atom_site_fract_z
Rh1 Rh 0.245 0.000 0.223
Pb1 Pb 0.000 0.000 0.500
W1 W 0.000 0.500 0.000
```

Entry 2:
Here is a PBEsol-optimized structure of MgZnMoIr2 from Alexandria. Energies are from SCAN.

The value obtained for the total magnetization is 0.000 μB/atom. The formation energy is 1.02 eV per atom.

```
data_MgZnMoIr2
_cell_length_a 4.661
_cell_length_b 4.661
_cell_length_c 4.765
_cell_angle_alpha 90.00
_cell_angle_beta 90.00
_cell_angle_gamma 90.00
_space_group_name_H-M_alt 'P 4/m m m'
_space_group_IT_number 123
_space_group_name_Hall '-P 4 2'
loop_
_atom_site_label
_atom_site_type_symbol
_atom_site_fract_x
_atom_site_fract_y
_atom_site_fract_z
Mg1 Mg 0.000 0.000 0.000
Zn1 Zn 0.500 0.500 0.000
Mo1 Mo 0.500 0.500 0.500
Ir1 Ir 0.000 0.500 0.500
```